{"formula": "NdSm3Ho6Th2", "functional": "PBE", "state": "relaxed", "dos_at_fermi_per_ev_cell": 15.63, "space_group": "No. 12", "magnetic_moment_mub_per_atom": 0.00, "volume_a3_per_cell": 386, "ef_ev_per_atom": 0.03, "e_tot_ev_per_cell": -60.92, "lattice_angstrom": [[3.105, -5.376, 0.000], [3.105, 5.376, 0.000], [-2.074, 0.000, 11.550]], "species": ["Nd", "Sm", "Sm", "Sm", "Ho", "Ho", "Ho", "Ho", "Ho", "Ho", "Th", "Th"], "frac_coords": [[0.000, 0.000, 0.000], [0.166, 0.834, 0.500], [0.500, 0.500, 0.500], [0.834, 0.166, 0.500], [0.083, 0.421, 0.247], [0.256, 0.256, 0.753], [0.421, 0.083, 0.247], [0.579, 0.917, 0.753], [0.744, 0.744, 0.247], [0.917, 0.579, 0.753], [0.333, 0.667, 0.000], [0.667, 0.333, 0.000]]}